No. 1
The following is a PBE calculation of a relaxed structure of KBeIn2, from Alexandria.

```
KBeIn2
1.0
-3.0685 3.0685 7.4585
3.0685 -3.0685 7.4585
3.0685 3.0685 -7.4585
K Be In
2 2 4
Direct
0.3750 0.6250 0.7500
0.6250 0.3750 0.2500
0.1250 0.8750 0.2500
0.8750 0.1250 0.7500
0.0000 0.0000 0.0000
0.0000 0.0000 0.5000
0.0000 0.5000 0.0000
0.5000 0.0000 0.5000
```

## Properties
Final energy ... -9.0 eV/f.u.
Formation energy ... 0.314 eV/atom
N(E_F) ... 0.4857 states/eV/atom



No. 2
The following is a PBE calculation of a relaxed structure of KBeIn2, from Alexandria.

```
KBeIn2
1.0
3.2982 -5.5069 0.0000
3.2982 5.5069 0.0000
-1.0597 0.0000 2.8900
K Be In
1 1 2
Direct
0.0000 0.0000 0.0000
0.5000 0.5000 0.0000
0.0000 0.5000 0.5000
0.5000 0.0000 0.5000
```

## Properties
Final energy ... -8.0 eV/f.u.
Formation energy ... 0.573 eV/atom
N(E_F) ... 0.2613 states/eV/atom



No. 3
The following is a PBE calculation of a relaxed structure of KBeIn2, from Alexandria.

```
KBeIn2
1.0
3.2096 -5.3731 0.0000
3.2096 5.3731 0.0000
0.0000 0.0000 3.0568
K Be In
1 1 2
Direct
0.0000 0.0000 0.0000
0.5000 0.5000 0.0000
0.0000 0.5000 0.5000
0.5000 0.0000 0.5000
```

## Properties
Final energy ... -7.9 eV/f.u.
Formation energy ... 0.597 eV/atom
N(E_F) ... 0.6386 states/eV/atom



No. 4
The following is a PBE calculation of a relaxed structure of KBeIn, from Alexandria.

```
KBeIn
1.0
0.0000 3.5222 3.5222
3.5222 0.0000 3.5222
3.5222 3.5222 0.0000
K Be In
1 1 1
Direct
0.0000 0.0000 0.0000
0.2500 0.2500 0.2500
0.5000 0.5000 0.5000
```

## Properties
Final energy ... -5.5 eV/f.u.
Formation energy ... 0.695 eV/atom
Energy above the lowest structure with this stoichiometry ... 0.548 eV/atom
N(E_F) ... 0.8270 states/eV/atom



No. 5
The following is a PBE calculation of a relaxed structure of KBeIn, from Alexandria.

```
KBeIn
1.0
6.7865 -2.0503 0.0000
6.7865 2.0503 0.0000
-2.2293 0.0000 5.9244
K Be In
2 2 2
Direct
0.1213 0.1213 0.4429
0.8787 0.8787 0.5571
0.2197 0.2197 0.9974
0.7803 0.7803 0.0026
0.4058 0.4058 0.0558
0.5942 0.5942 0.9442
```

## Properties
Final energy ... -7.0 eV/f.u.
Formation energy ... 0.190 eV/atom
Energy above the lowest structure with this stoichiometry ... 0.043 eV/atom
N(E_F) ... 0.2330 states/eV/atom



No. 6
The following is a PBE calculation of a relaxed structure of KBe2In4, from Alexandria.

```
KBe2In4
1.0
-2.9297 2.9297 6.8108
2.9297 -2.9297 6.8108
2.9297 2.9297 -6.8108
K Be In
1 2 4
Direct
0.0000 0.0000 0.0000
0.4259 0.4259 0.0000
0.5741 0.5741 0.0000
0.0000 0.5000 0.5000
0.2462 0.2462 0.0000
0.5000 0.0000 0.5000
0.7538 0.7538 0.0000
```

## Properties
Final energy ... -13.2 eV/f.u.
Formation energy ... 0.896 eV/atom
N(E_F) ... 0.6474 states/eV/atom



No. 7
The following is a PBE calculation of a relaxed structure of KLa2BeIn, from Alexandria.

```
KLa2BeIn
1.0
6.6785 0.0000 0.0000
0.0000 6.6785 0.0000
0.0000 0.0000 6.5429
K La Be In
1 2 1 1
Direct
0.0000 0.0000 0.0000
0.0000 0.5000 0.0000
0.5000 0.0000 0.0000
0.5000 0.5000 0.5000
0.0000 0.0000 0.5000
```

## Properties
Final energy ... -8.8 eV/f.u.
Formation energy ... 1.722 eV/atom
N(E_F) ... 1.5509 states/eV/atom



No. 8
The following is a PBE calculation of a relaxed structure of K2BeInO4, from Alexandria.

```
K2BeInO4
1.0
0.0000 5.8256 10.6517
2.5180 0.0000 10.6517
2.5180 5.8256 0.0000
K Be In O
4 2 2 8
Direct
0.0567 0.0567 0.6933
0.3067 0.3067 0.9433
0.6933 0.6933 0.0567
0.9433 0.9433 0.3067
0.3750 0.3750 0.3750
0.6250 0.6250 0.6250
0.1250 0.1250 0.1250
0.8750 0.8750 0.8750
0.0521 0.6144 0.5208
0.3127 0.5208 0.6144
0.3856 0.9479 0.6873
0.4792 0.6873 0.9479
0.5208 0.3127 0.0521
0.6144 0.0521 0.3127
0.6873 0.4792 0.3856
0.9479 0.3856 0.4792
```

## Properties
Final energy ... -39.5 eV/f.u.
Energy relative to the elements, uncorrected ... -1062 kJ/mol of formula units
N(E_F) ... 0.7628 states/eV/atom